The following is a GGA+U calculation of an optimized crystal structure of LaCrO4, from Alexandria via LeMat-Bulk.

a = 6.748 Å, b = 7.287 Å, c = 8.409 Å
α = 90.00°, β = 125.06°, γ = 90.00°
Atoms (fractional coordinates):
La 0.183 0.155 0.283
La 0.183 0.345 0.783
La 0.817 0.655 0.217
La 0.817 0.845 0.717
Cr 0.310 0.664 0.197
Cr 0.310 0.836 0.697
Cr 0.690 0.164 0.303
Cr 0.690 0.336 0.803
O 0.102 0.660 0.607
O 0.102 0.840 0.107
O 0.175 0.002 0.753
O 0.175 0.498 0.253
O 0.347 0.611 0.016
O 0.347 0.889 0.516
O 0.393 0.208 0.119
O 0.393 0.292 0.619
O 0.607 0.708 0.381
O 0.607 0.792 0.881
O 0.653 0.111 0.484
O 0.653 0.389 0.984
O 0.825 0.502 0.747
O 0.825 0.998 0.247
O 0.898 0.160 0.893
O 0.898 0.340 0.393

## Properties
- SG = P2_1/c
- energy (eV per atom) = -7.71